(1)
Compound: MnTlMoAu2
Source: Alexandria
Functional: PBE-GGA
Structure: optimized geometry

The structure in POSCAR format:
```
MnTlMoAu2
1.0
-3.5044 3.6637 1.2276
-1.8580 -2.9868 3.6101
3.3515 2.0574 3.4271
Mo Tl Mn Au
1 1 1 2
Cartesian
-1.0054 1.3672 4.1324 Mo
0.0000 0.0000 0.0000 Tl
-0.9290 -1.4934 1.8050 Mn
-1.7522 1.8319 0.6138 Au
1.6758 1.0287 1.7136 Au
```

Properties
SG	P4/mmm, No. 123
total DFT energy (no corrections)	-4.174	eV per atom
theoretical density	9.07	g/cm3
energy above the most stable polymorph in this dataset	762	meV per atom
energy of formation from the pure elements	1.611	eV/atom

---

(2)
Compound: NaGaPb
Source: Alexandria
Functional: PBE-GGA
Structure: optimized geometry

The structure in POSCAR format:
```
NaGaPb
1.0
6.0536 0.0457 -0.0767
-2.3364 4.7459 0.0896
-1.0860 2.2965 5.4959
Na Ga Pb
2 2 2
Cartesian
-0.0858 3.5977 0.8742 Na
4.4810 2.8281 4.5352 Na
1.4518 2.8188 3.5629 Ga
0.2844 5.1916 3.6067 Ga
3.2551 5.2142 2.4683 Pb
2.9762 2.1590 0.8498 Pb
```

Properties
SG	Cc, No. 9
total DFT energy (no corrections)	-2.764	eV per atom
theoretical density	6.33	g/cm3
energy of formation from the pure elements	-0.080	eV/atom

---

(3)
Compound: Hf8TaSb2
Source: Alexandria
Functional: PBE-GGA
Structure: optimized geometry

The structure in POSCAR format:
```
Hf8TaSb2
1.0
-1.0557 -5.1661 -0.1477
7.0331 -0.0828 3.0288
-5.8920 2.5253 4.1895
Hf Sb Ta
8 2 1
Cartesian
-1.3122 0.0520 1.5696 Hf
3.7476 -2.1094 3.2026 Hf
-3.6623 -0.6142 3.8680 Hf
1.3976 -2.7756 5.5010 Hf
1.4790 -0.5112 1.3189 Hf
0.3689 -0.1146 4.3650 Hf
-1.3936 -2.2124 5.7517 Hf
-0.2835 -2.6091 2.7056 Hf
-1.9781 1.7355 3.8381 Sb
3.1192 0.7070 3.3803 Sb
-0.5279 -2.5831 -0.0739 Ta
```

Properties
SG	C2/m, No. 12
total DFT energy (no corrections)	-9.102	eV per atom
theoretical density	12.29	g/cm3
raw formation energy	-0.036	eV/atom